# 1
Density functional theory data (PBE) for an optimized crystal structure of Ag3IBrCl.

Computed properties:
* symmetry: C2/c (15)
* E_form (uncorrected): -0.282 eV per atom
* energy: -2.5524 eV/atom

abc: 7.1315 7.1312 7.4758
angles: 61.51 82.34 73.77
Fractional positions:
1 Ag 0.5033 0.8457 0.8213
2 I 0.2500 0.2501 0.4998
3 Ag 0.2500 0.7580 0.4839
4 I 0.7500 0.7499 0.5002
5 Ag 0.9967 0.3329 0.8213
6 Ag 0.4967 0.1543 0.1787
7 Cl 0.2500 0.9467 0.1066
8 Br 0.2500 0.5609 0.8782
9 Ag 0.7500 0.2420 0.5161
10 Br 0.7500 0.4391 0.1218
11 Cl 0.7500 0.0533 0.8934
12 Ag 0.0033 0.6671 0.1787



# 2
Density functional theory data (PBE) for an optimized crystal structure of Ag4IBrCl2.

Computed properties:
* symmetry: Fmm2 (42)
* E_form (uncorrected): -0.367 eV per atom
* energy: -2.6570 eV/atom

abc: 6.2879 6.2879 7.6208
angles: 114.38 114.37 89.98
Fractional positions:
1 I 0.9997 0.9997 0.9994
2 Br 0.5004 0.5004 0.0007
3 Ag 0.1224 0.1224 0.7324
4 Ag 0.3891 0.8787 0.2677
5 Cl 0.7501 0.2500 0.5001
6 Ag 0.8786 0.3891 0.2677
7 Cl 0.2501 0.7500 0.5001
8 Ag 0.6100 0.6100 0.7324



# 3
Density functional theory data (PBE) for an optimized crystal structure of Ag3IrBr2Cl6.

Computed properties:
* symmetry: C2/m (12)
* E_form (uncorrected): -0.392 eV per atom
* energy: -3.0456 eV/atom

abc: 5.8624 7.4620 7.9145
angles: 118.13 93.96 90.00
Fractional positions:
1 Ag 0.5000 0.0000 0.5000
2 Ag 0.5000 0.5000 0.5000
3 Br 0.7824 0.3230 0.6460
4 Ag 0.0000 0.5000 0.0000
5 Cl 0.7257 0.8702 0.7404
6 Ir 0.5000 0.0000 0.0000
7 Cl 0.2743 0.1298 0.2596
8 Cl 0.2727 0.6983 0.8439
9 Br 0.2176 0.6770 0.3540
10 Cl 0.2727 0.1456 0.8439
11 Cl 0.7273 0.3017 0.1561
12 Cl 0.7273 0.8544 0.1561



# 4
Density functional theory data (PBE) for an optimized crystal structure of Ag3IrBr6Cl2.

Computed properties:
* symmetry: C2/m (12)
* E_form (uncorrected): -0.280 eV per atom
* energy: -2.8757 eV/atom

abc: 6.1580 7.6341 8.1097
angles: 118.08 100.16 90.00
Fractional positions:
1 Ir 0.5000 0.0000 0.0000
2 Ag 0.5000 0.0000 0.5000
3 Ag 0.0000 0.5000 0.0000
4 Br 0.7423 0.8569 0.1797
5 Br 0.7290 0.8760 0.7520
6 Cl 0.2598 0.6634 0.3268
7 Br 0.2577 0.1431 0.8203
8 Br 0.2577 0.6772 0.8203
9 Br 0.2710 0.1240 0.2480
10 Cl 0.7402 0.3366 0.6732
11 Ag 0.5000 0.5000 0.5000
12 Br 0.7423 0.3228 0.1797



# 5
Density functional theory data (PBE) for an optimized crystal structure of AgIrBrCl6.

Computed properties:
* symmetry: C2 (5)
* E_form (uncorrected): -0.333 eV per atom
* energy: -3.0511 eV/atom

abc: 6.7528 6.5536 8.1116
angles: 118.76 103.50 60.98
Site moments in Bohr magnetons follow the coordinates.
Fractional positions:
1 Ir 0.3321 0.3340 0.5000  -0.36
2 Br 0.0694 0.9653 0.0000  -0.01
3 Cl 0.0441 0.7482 0.6585  -0.03
4 Cl 0.0440 0.2077 0.3414  -0.03
5 Cl 0.6093 0.9252 0.3205  -0.05
6 Cl 0.3380 0.4702 0.2827  -0.08
7 Cl 0.6094 0.4656 0.6795  -0.05
8 Ag 0.6155 0.6923 0.5000  -0.14
9 Cl 0.3381 0.1917 0.7172  -0.08



# 6
Density functional theory data (PBE) for an optimized crystal structure of K3Ag2Br4Cl2.

Computed properties:
* symmetry: I4/mmm (139)
* E_form (uncorrected): -1.134 eV per atom
* energy: -2.8953 eV/atom

abc: 5.2498 5.2498 13.8462
angles: 100.93 100.93 90.00
Fractional positions:
1 Cl 0.2986 0.2986 0.5973
2 Br 0.9179 0.4179 0.8357
3 Br 0.0821 0.5821 0.1643
4 Br 0.4179 0.9179 0.8357
5 Ag 0.3974 0.3974 0.7948
6 K 0.1847 0.1847 0.3693
7 Ag 0.6026 0.6026 0.2052
8 Br 0.5821 0.0821 0.1643
9 K 0.0000 0.0000 0.0000
10 K 0.8153 0.8153 0.6307
11 Cl 0.7014 0.7014 0.4027



# 7
Density functional theory data (PBE) for an optimized crystal structure of KAgBrCl.

Computed properties:
* symmetry: Pmm2 (25)
* E_form (uncorrected): -1.082 eV per atom
* energy: -2.9491 eV/atom

abc: 4.9342 5.6373 4.6589
angles: 90.03 90.00 90.00
Fractional positions:
1 Ag 0.5000 0.9492 0.5164
2 Br 0.5000 0.4490 0.3994
3 K 0.0000 0.4494 0.9335
4 Cl 0.0000 0.9491 0.6838



# 8
Density functional theory data (PBE) for an optimized crystal structure of K3Ag2Br2Cl4.

Computed properties:
* symmetry: I4/mmm (139)
* E_form (uncorrected): -1.202 eV per atom
* energy: -2.9952 eV/atom

abc: 5.0261 5.0261 13.8829
angles: 100.43 100.43 90.00
Fractional positions:
1 Cl 0.9229 0.4229 0.8459
2 Br 0.6971 0.6971 0.3943
3 Cl 0.0771 0.5771 0.1541
4 Br 0.3029 0.3029 0.6057
5 Ag 0.5931 0.5931 0.1861
6 K 0.0000 0.0000 0.0000
7 Cl 0.5771 0.0771 0.1541
8 Ag 0.4069 0.4069 0.8139
9 K 0.8205 0.8205 0.6410
10 K 0.1795 0.1795 0.3590
11 Cl 0.4229 0.9229 0.8459



# 9
Density functional theory data (PBE) for an optimized crystal structure of K3Ag2BrCl9.

Computed properties:
* symmetry: P-3m1 (164)
* E_form (uncorrected): -0.880 eV per atom
* energy: -2.6989 eV/atom

abc: 7.3516 7.3516 9.0722
angles: 90.00 90.00 120.00
Fractional positions:
1 Cl 0.6536 0.8268 0.3253
2 Cl 0.0000 0.5000 0.0000
3 K 0.6667 0.3333 0.3115
4 Cl 0.8268 0.6536 0.6747
5 Cl 0.1732 0.3464 0.3253
6 Cl 0.5000 0.5000 0.0000
7 Cl 0.8268 0.1732 0.6747
8 Ag 0.6667 0.3333 0.8371
9 K 0.3333 0.6667 0.6885
10 K 0.0000 0.0000 0.0000
11 Ag 0.3333 0.6667 0.1629
12 Cl 0.5000 0.0000 0.0000
13 Br 0.0000 0.0000 0.5000
14 Cl 0.1732 0.8268 0.3253
15 Cl 0.3464 0.1732 0.6747



# 10
Density functional theory data (PBE) for an optimized crystal structure of K2AgBrCl6.

Computed properties:
* symmetry: P2_1/c (14)
* E_form (uncorrected): -0.915 eV per atom
* energy: -2.6951 eV/atom

abc: 8.9435 6.5418 11.3442
angles: 90.00 71.28 90.00
Fractional positions:
1 Cl 0.6067 0.0234 0.7827
2 Br 0.0000 0.5000 0.0000
3 Cl 0.8224 0.2163 0.0787
4 Ag 0.0000 0.5000 0.5000
5 Cl 0.1776 0.7837 0.9213
6 K 0.5207 0.5195 0.7351
7 K 0.9793 0.0195 0.7649
8 Cl 0.3366 0.2806 0.0018
9 Ag 0.5000 0.0000 0.0000
10 Cl 0.6776 0.7163 0.4213
11 K 0.4793 0.4805 0.2649
12 Cl 0.3224 0.2837 0.5787
13 Cl 0.3933 0.9766 0.2173
14 K 0.0207 0.9805 0.2351
15 Br 0.5000 0.0000 0.5000
16 Cl 0.1067 0.4766 0.2827
17 Cl 0.1634 0.7806 0.4982
18 Cl 0.8366 0.2194 0.5018
19 Cl 0.6634 0.7194 0.9982
20 Cl 0.8933 0.5234 0.7173



# 11
Density functional theory data (PBE) for an optimized crystal structure of K3Ag2Br3Cl2.

Computed properties:
* symmetry: I4/mmm (139)
* E_form (uncorrected): -1.184 eV per atom
* energy: -2.9549 eV/atom

abc: 4.6950 4.6950 15.9874
angles: 98.44 98.44 90.00
Fractional positions:
1 Br 0.3913 0.3913 0.7826
2 Ag 0.7500 0.2500 0.5000
3 K 0.1049 0.1049 0.2099
4 Ag 0.2500 0.7500 0.5000
5 Cl 0.2098 0.2098 0.4196
6 K 0.5000 0.5000 0.0000
7 Cl 0.7902 0.7902 0.5804
8 Br 0.0000 0.0000 0.0000
9 K 0.8951 0.8951 0.7901
10 Br 0.6087 0.6087 0.2174